a:
# In2HPt | Alexandria | GGA-PBE | relaxed
data_In2HPt
_space_group_name_H-M_alt 'I -4 2 d'
_space_group_IT_number 122
_space_group_name_Hall 'I -4 2bw'
_cell_length_a 5.213
_cell_length_b 5.213
_cell_length_c 12.390
_cell_angle_alpha 90.00
_cell_angle_beta 90.00
_cell_angle_gamma 90.00
loop_
_atom_site_label
_atom_site_type_symbol
_atom_site_fract_x
_atom_site_fract_y
_atom_site_fract_z
In1 In 0.177 0.250 0.125
H1 H 0.000 0.000 0.000
Pt1 Pt 0.000 0.000 0.500
# Fermi-level density of states (states/eV/f.u.): 1.2
# V (Å³/cell): 336.73

***

b:
# In2HPt | Alexandria | GGA-PBE | relaxed
data_In2HPt
_space_group_name_H-M_alt 'F m -3 m'
_space_group_IT_number 225
_space_group_name_Hall '-F 4 2 3'
_cell_length_a 6.484
_cell_length_b 6.484
_cell_length_c 6.484
_cell_angle_alpha 90.00
_cell_angle_beta 90.00
_cell_angle_gamma 90.00
loop_
_atom_site_label
_atom_site_type_symbol
_atom_site_fract_x
_atom_site_fract_y
_atom_site_fract_z
In1 In 0.250 0.250 0.250
H1 H 0.000 0.000 0.000
Pt1 Pt 0.000 0.000 0.500
# Fermi-level density of states (states/eV/f.u.): 1.5
# V (Å³/cell): 272.60

***

Of them, b has the highest stability.

***

a:
# In2H2Pt | Alexandria | GGA-PBE | relaxed
data_In2H2Pt
_space_group_name_H-M_alt 'I 4/m m m'
_space_group_IT_number 139
_space_group_name_Hall '-I 4 2'
_cell_length_a 3.251
_cell_length_b 3.251
_cell_length_c 13.030
_cell_angle_alpha 90.00
_cell_angle_beta 90.00
_cell_angle_gamma 90.00
loop_
_atom_site_label
_atom_site_type_symbol
_atom_site_fract_x
_atom_site_fract_y
_atom_site_fract_z
In1 In 0.000 0.000 0.133
H1 H 0.000 0.500 0.250
Pt1 Pt 0.000 0.000 0.500
# Fermi-level density of states (states/eV/f.u.): 1.9
# V (Å³/cell): 137.75

***

b:
# In2H2Pt | Alexandria | GGA-PBE | relaxed
data_In2H2Pt
_space_group_name_H-M_alt 'P 4/m b m'
_space_group_IT_number 127
_space_group_name_Hall '-P 4 2ab'
_cell_length_a 5.630
_cell_length_b 5.630
_cell_length_c 4.633
_cell_angle_alpha 90.00
_cell_angle_beta 90.00
_cell_angle_gamma 90.00
loop_
_atom_site_label
_atom_site_type_symbol
_atom_site_fract_x
_atom_site_fract_y
_atom_site_fract_z
In1 In 0.188 0.312 0.000
H1 H 0.243 0.257 0.500
Pt1 Pt 0.000 0.000 0.500
# Fermi-level density of states (states/eV/f.u.): 1.0
# V (Å³/cell): 146.87

***

Of them, b has the highest stability.

***

a:
# InH2Pt | Alexandria | GGA-PBE | relaxed
data_InH2Pt
_space_group_name_H-M_alt 'F m -3 m'
_space_group_IT_number 225
_space_group_name_Hall '-F 4 2 3'
_cell_length_a 5.666
_cell_length_b 5.666
_cell_length_c 5.666
_cell_angle_alpha 90.00
_cell_angle_beta 90.00
_cell_angle_gamma 90.00
loop_
_atom_site_label
_atom_site_type_symbol
_atom_site_fract_x
_atom_site_fract_y
_atom_site_fract_z
In1 In 0.000 0.000 0.000
H1 H 0.250 0.250 0.250
Pt1 Pt 0.000 0.000 0.500
# Fermi-level density of states (states/eV/f.u.): 1.4
# V (Å³/cell): 181.90

***

b:
# InH2Pt | Alexandria | GGA-PBE | relaxed
data_InH2Pt
_space_group_name_H-M_alt 'I -4 2 d'
_space_group_IT_number 122
_space_group_name_Hall 'I -4 2bw'
_cell_length_a 5.075
_cell_length_b 5.075
_cell_length_c 8.320
_cell_angle_alpha 90.00
_cell_angle_beta 90.00
_cell_angle_gamma 90.00
loop_
_atom_site_label
_atom_site_type_symbol
_atom_site_fract_x
_atom_site_fract_y
_atom_site_fract_z
In1 In 0.000 0.000 0.000
H1 H 0.103 0.250 0.625
Pt1 Pt 0.000 0.000 0.500
# Fermi-level density of states (states/eV/f.u.): 1.0
# V (Å³/cell): 214.27

***

Of them, b has the highest stability.

***

a:
# InHPt2Rh | Alexandria | GGA-PBE | relaxed
data_InHPt2Rh
_space_group_name_H-M_alt 'P 4/m m m'
_space_group_IT_number 123
_space_group_name_Hall '-P 4 2'
_cell_length_a 3.923
_cell_length_b 3.923
_cell_length_c 4.451
_cell_angle_alpha 90.00
_cell_angle_beta 90.00
_cell_angle_gamma 90.00
loop_
_atom_site_label
_atom_site_type_symbol
_atom_site_fract_x
_atom_site_fract_y
_atom_site_fract_z
In1 In 0.000 0.000 0.000
H1 H 0.000 0.000 0.500
Pt1 Pt 0.000 0.500 0.500
Rh1 Rh 0.500 0.500 0.000
# Fermi-level density of states (states/eV/f.u.): 4.8
# V (Å³/cell): 68.51

***

b:
# InHPt2Rh | Alexandria | GGA-PBE | relaxed
data_InHPt2Rh
_space_group_name_H-M_alt 'P 4/m m m'
_space_group_IT_number 123
_space_group_name_Hall '-P 4 2'
_cell_length_a 4.039
_cell_length_b 4.039
_cell_length_c 4.142
_cell_angle_alpha 90.00
_cell_angle_beta 90.00
_cell_angle_gamma 90.00
loop_
_atom_site_label
_atom_site_type_symbol
_atom_site_fract_x
_atom_site_fract_y
_atom_site_fract_z
In1 In 0.000 0.000 0.000
H1 H 0.500 0.500 0.500
Pt1 Pt 0.000 0.500 0.500
Rh1 Rh 0.500 0.500 0.000
# Fermi-level density of states (states/eV/f.u.): 4.0
# V (Å³/cell): 67.58

***

Of them, b has the highest stability.

***

a:
# Ti2InHPt | Alexandria | GGA-PBE | relaxed
data_Ti2InHPt
_space_group_name_H-M_alt 'P 4/m m m'
_space_group_IT_number 123
_space_group_name_Hall '-P 4 2'
_cell_length_a 4.153
_cell_length_b 4.153
_cell_length_c 4.079
_cell_angle_alpha 90.00
_cell_angle_beta 90.00
_cell_angle_gamma 90.00
loop_
_atom_site_label
_atom_site_type_symbol
_atom_site_fract_x
_atom_site_fract_y
_atom_site_fract_z
Ti1 Ti 0.000 0.500 0.000
In1 In 0.000 0.000 0.500
H1 H 0.500 0.500 0.000
Pt1 Pt 0.500 0.500 0.500
# Fermi-level density of states (states/eV/f.u.): 5.1
# V (Å³/cell): 70.35

***

b:
# Ti2InHPt | Alexandria | GGA-PBE | relaxed
data_Ti2InHPt
_space_group_name_H-M_alt 'P 4/m m m'
_space_group_IT_number 123
_space_group_name_Hall '-P 4 2'
_cell_length_a 3.972
_cell_length_b 3.972
_cell_length_c 4.462
_cell_angle_alpha 90.00
_cell_angle_beta 90.00
_cell_angle_gamma 90.00
loop_
_atom_site_label
_atom_site_type_symbol
_atom_site_fract_x
_atom_site_fract_y
_atom_site_fract_z
Ti1 Ti 0.000 0.500 0.000
In1 In 0.000 0.000 0.500
H1 H 0.000 0.000 0.000
Pt1 Pt 0.500 0.500 0.500
# Fermi-level density of states (states/eV/f.u.): 4.9
# V (Å³/cell): 70.41

***

Of them, a has the highest stability.

***

a:
# Pu2InH | Alexandria | GGA-PBE | relaxed
data_Pu2InH
_space_group_name_H-M_alt 'R -3 m'
_space_group_IT_number 166
_space_group_name_Hall '-R 3 2"'
_cell_length_a 3.7617
_cell_length_b 3.7617
_cell_length_c 17.0616
_cell_angle_alpha 90.00
_cell_angle_beta 90.00
_cell_angle_gamma 120.00
loop_
_atom_site_label
_atom_site_type_symbol
_atom_site_fract_x
_atom_site_fract_y
_atom_site_fract_z
Pu1 Pu 0.0000 0.0000 0.1968
In1 In 0.0000 0.0000 0.0000
H1 H 0.0000 0.0000 0.5000
# Fermi-level density of states (states/eV/f.u.): 7.0
# V (Å³/cell): 209.09

***

b:
# Pu2InH | Alexandria | GGA-PBE | relaxed
data_Pu2InH
_space_group_name_H-M_alt 'R 3 m'
_space_group_IT_number 160
_space_group_name_Hall 'R 3 -2"'
_cell_length_a 3.5040
_cell_length_b 3.5040
_cell_length_c 19.7386
_cell_angle_alpha 90.00
_cell_angle_beta 90.00
_cell_angle_gamma 120.00
loop_
_atom_site_label
_atom_site_type_symbol
_atom_site_fract_x
_atom_site_fract_y
_atom_site_fract_z
Pu1 Pu 0.0000 0.0000 0.0000
Pu2 Pu 0.0000 0.0000 0.2679
In1 In 0.0000 0.0000 0.4722
H1 H 0.0000 0.0000 0.7149
# Fermi-level density of states (states/eV/f.u.): 7.9
# V (Å³/cell): 209.88

***

c:
# Pu2InH | Alexandria | GGA-PBE | relaxed
data_Pu2InH
_space_group_name_H-M_alt 'P 4/m m m'
_space_group_IT_number 123
_space_group_name_Hall '-P 4 2'
_cell_length_a 3.133
_cell_length_b 3.133
_cell_length_c 8.128
_cell_angle_alpha 90.00
_cell_angle_beta 90.00
_cell_angle_gamma 90.00
loop_
_atom_site_label
_atom_site_type_symbol
_atom_site_fract_x
_atom_site_fract_y
_atom_site_fract_z
Pu1 Pu 0.000 0.000 0.195
In1 In 0.500 0.500 0.500
H1 H 0.500 0.500 0.000
# Fermi-level density of states (states/eV/f.u.): 9.2
# V (Å³/cell): 79.79

***

Of them, b has the highest stability.

***

a:
# Rb2InH4 | Alexandria | GGA-PBE | relaxed
data_Rb2InH4
_space_group_name_H-M_alt 'C 1 2/m 1'
_space_group_IT_number 12
_cell_length_a 14.676
_cell_length_b 5.666
_cell_length_c 7.628
_cell_angle_alpha 90.00
_cell_angle_beta 120.07
_cell_angle_gamma 90.00
loop_
_space_group_symop_operation_xyz
'x,y,z'
'-x,-y,-z'
'-x,y,-z'
'x,-y,z'
'x+1/2,y+1/2,z'
'-x+1/2,-y+1/2,-z'
'-x+1/2,y+1/2,-z'
'x+1/2,-y+1/2,z'
loop_
_atom_site_label
_atom_site_type_symbol
_atom_site_fract_x
_atom_site_fract_y
_atom_site_fract_z
Rb1 Rb 0.026 0.000 0.260
Rb2 Rb 0.171 0.500 0.786
In1 In 0.193 0.500 0.305
H1 H 0.073 0.500 0.358
H2 H 0.143 0.255 0.115
H3 H 0.165 0.000 0.687
# Fermi-level density of states (states/eV/f.u.): 0.6
# V (Å³/cell): 548.94

***

b:
# Rb2InH4 | Alexandria | GGA-PBE | relaxed
data_Rb2InH4
_space_group_name_H-M_alt 'P 1 21/m 1'
_space_group_IT_number 11
_cell_length_a 6.199
_cell_length_b 5.859
_cell_length_c 8.896
_cell_angle_alpha 90.00
_cell_angle_beta 90.38
_cell_angle_gamma 90.00
loop_
_space_group_symop_operation_xyz
'x,y,z'
'-x,-y,-z'
'-x,y+1/2,-z'
'x,-y+1/2,z'
loop_
_atom_site_label
_atom_site_type_symbol
_atom_site_fract_x
_atom_site_fract_y
_atom_site_fract_z
Rb1 Rb 0.218 0.250 0.011
Rb2 Rb 0.220 0.250 0.489
In1 In 0.279 0.750 0.751
H1 H 0.081 0.513 0.750
H2 H 0.316 0.750 0.533
H3 H 0.318 0.750 0.969
# Fermi-level density of states (states/eV/f.u.): 2.0
# V (Å³/cell): 323.08

***

c:
# Rb2InH4 | Alexandria | GGA-PBE | relaxed
data_Rb2InH4
_space_group_name_H-M_alt 'I 4/m m m'
_space_group_IT_number 139
_space_group_name_Hall '-I 4 2'
_cell_length_a 4.269
_cell_length_b 4.269
_cell_length_c 14.616
_cell_angle_alpha 90.00
_cell_angle_beta 90.00
_cell_angle_gamma 90.00
loop_
_atom_site_label
_atom_site_type_symbol
_atom_site_fract_x
_atom_site_fract_y
_atom_site_fract_z
Rb1 Rb 0.000 0.000 0.145
In1 In 0.000 0.000 0.500
H1 H 0.000 0.000 0.349
H2 H 0.000 0.500 0.000
# Fermi-level density of states (states/eV/f.u.): 1.3
# V (Å³/cell): 266.35

***

Of them, a has the highest stability.

***

a:
# RbInH | Alexandria | GGA-PBE | relaxed
data_RbInH
_space_group_name_H-M_alt 'P -1'
_space_group_IT_number 2
_cell_length_a 7.344
_cell_length_b 7.554
_cell_length_c 7.616
_cell_angle_alpha 82.88
_cell_angle_beta 73.73
_cell_angle_gamma 74.73
loop_
_space_group_symop_operation_xyz
'x,y,z'
'-x,-y,-z'
loop_
_atom_site_label
_atom_site_type_symbol
_atom_site_fract_x
_atom_site_fract_y
_atom_site_fract_z
Rb1 Rb 0.191 0.453 0.184
Rb2 Rb 0.220 0.921 0.695
In1 In 0.347 0.929 0.181
In2 In 0.409 0.384 0.640
H1 H 0.210 0.546 0.804
H2 H 0.486 0.880 0.915
# Fermi-level density of states (states/eV/f.u.): 0.7
# V (Å³/cell): 390.66

***

b:
# RbInH | Alexandria | GGA-PBE | relaxed
data_RbInH
_space_group_name_H-M_alt 'P m m a'
_space_group_IT_number 51
_cell_length_a 5.585
_cell_length_b 4.001
_cell_length_c 7.246
_cell_angle_alpha 90.00
_cell_angle_beta 90.00
_cell_angle_gamma 90.00
loop_
_space_group_symop_operation_xyz
'x,y,z'
'-x,-y,-z'
'-x+1/2,-y,z'
'x+1/2,y,-z'
'x+1/2,-y,-z'
'-x+1/2,y,z'
'-x,y,-z'
'x,-y,z'
loop_
_atom_site_label
_atom_site_type_symbol
_atom_site_fract_x
_atom_site_fract_y
_atom_site_fract_z
Rb1 Rb 0.250 0.000 0.166
In1 In 0.250 0.500 0.573
H1 H 0.250 0.500 0.838
# Fermi-level density of states (states/eV/f.u.): 0.6
# V (Å³/cell): 161.92

***

c:
# RbInH | Alexandria | GGA-PBE | relaxed
data_RbInH
_space_group_name_H-M_alt 'R -3 m'
_space_group_IT_number 166
_space_group_name_Hall '-R 3 2"'
_cell_length_a 5.2439
_cell_length_b 5.2439
_cell_length_c 21.9468
_cell_angle_alpha 90.00
_cell_angle_beta 90.00
_cell_angle_gamma 120.00
loop_
_atom_site_label
_atom_site_type_symbol
_atom_site_fract_x
_atom_site_fract_y
_atom_site_fract_z
Rb1 Rb 0.0000 0.0000 0.1007
In1 In 0.0000 0.0000 0.3244
H1 H 0.0000 0.0000 0.2357
# Fermi-level density of states (states/eV/f.u.): 0.3
# V (Å³/cell): 522.66

***

Of them, c has the highest stability.